Arrangement A

First-principles (PBE-GGA) data for crystalline Pm3Tm4Th2 at its relaxed geometry, as listed in Alexandria.

Structure (CIF):
```
data_Pm3Tm4Th2
_chemical_formula_sum 'Pm12 Tm16 Th8'
_symmetry_space_group_name_H-M 'C 1 2/c 1'
_symmetry_Int_Tables_number 15
_cell_length_a 14.634
_cell_length_b 13.059
_cell_length_c 6.296
_cell_angle_alpha 90.00
_cell_angle_beta 99.94
_cell_angle_gamma 90.00
loop_
_symmetry_equiv_pos_as_xyz
'x,y,z'
'-x,-y,-z'
'-x,y,-z+1/2'
'x,-y,z+1/2'
'x+1/2,y+1/2,z'
'-x+1/2,-y+1/2,-z'
'-x+1/2,y+1/2,-z+1/2'
'x+1/2,-y+1/2,z+1/2'
loop_
_atom_site_label
_atom_site_fract_x
_atom_site_fract_y
_atom_site_fract_z
Pm1 0.000 0.040 0.250
Pm2 0.106 0.440 0.996
Tm1 0.082 0.290 0.519
Tm2 0.189 0.184 0.137
Th1 0.207 0.077 0.642
```

Calculated values
Calculated volume: 32.9 Å³ per atom

***

Arrangement B

First-principles (PBE-GGA) data for crystalline Pm3Tm4Th2 at its relaxed geometry, as listed in Alexandria.

Structure (CIF):
```
data_Pm3Tm4Th2
_chemical_formula_sum 'Pm6 Tm8 Th4'
_symmetry_space_group_name_H-M 'C 1 2/m 1'
_symmetry_Int_Tables_number 12
_cell_length_a 15.138
_cell_length_b 5.054
_cell_length_c 7.938
_cell_angle_alpha 90.00
_cell_angle_beta 108.17
_cell_angle_gamma 90.00
loop_
_symmetry_equiv_pos_as_xyz
'x,y,z'
'-x,-y,-z'
'-x,y,-z'
'x,-y,z'
'x+1/2,y+1/2,z'
'-x+1/2,-y+1/2,-z'
'-x+1/2,y+1/2,-z'
'x+1/2,-y+1/2,z'
loop_
_atom_site_label
_atom_site_fract_x
_atom_site_fract_y
_atom_site_fract_z
Pm1 0.000 0.000 0.000
Pm2 0.114 0.000 0.673
Tm1 0.056 0.500 0.331
Tm2 0.222 0.000 0.329
Th1 0.169 0.500 0.000
```

Calculated values
Calculated volume: 32.1 Å³ per atom

***

Which is most stable? The ranking, best first, is arrangement B, arrangement A.

***

Arrangement A

First-principles (PBE-GGA) data for crystalline Pm4Tm7Th at its relaxed geometry, as listed in Alexandria.

Structure (CIF):
```
data_Pm4Tm7Th
_chemical_formula_sum 'Pm4 Tm7 Th1'
_symmetry_space_group_name_H-M 'P -1'
_symmetry_Int_Tables_number 2
_cell_length_a 7.077
_cell_length_b 7.926
_cell_length_c 7.936
_cell_angle_alpha 95.89
_cell_angle_beta 102.41
_cell_angle_gamma 116.49
loop_
_symmetry_equiv_pos_as_xyz
'x,y,z'
'-x,-y,-z'
loop_
_atom_site_label
_atom_site_fract_x
_atom_site_fract_y
_atom_site_fract_z
Pm1 0.005 0.169 0.169
Pm2 0.255 0.667 0.171
Tm1 0.000 0.500 0.500
Tm2 0.252 0.004 0.499
Tm3 0.254 0.336 0.829
Tm4 0.498 0.829 0.829
Th1 0.500 0.500 0.500
```

Calculated values
Calculated volume: 31.6 Å³ per atom

***

Arrangement B

First-principles (PBE-GGA) data for crystalline Pm4Tm7Th at its relaxed geometry, as listed in Alexandria.

Structure (CIF):
```
data_Pm4Tm7Th
_chemical_formula_sum 'Pm8 Tm14 Th2'
_symmetry_space_group_name_H-M 'C 1 2/m 1'
_symmetry_Int_Tables_number 12
_cell_length_a 12.122
_cell_length_b 5.909
_cell_length_c 12.674
_cell_angle_alpha 90.00
_cell_angle_beta 118.38
_cell_angle_gamma 90.00
loop_
_symmetry_equiv_pos_as_xyz
'x,y,z'
'-x,-y,-z'
'-x,y,-z'
'x,-y,z'
'x+1/2,y+1/2,z'
'-x+1/2,-y+1/2,-z'
'-x+1/2,y+1/2,-z'
'x+1/2,-y+1/2,z'
loop_
_atom_site_label
_atom_site_fract_x
_atom_site_fract_y
_atom_site_fract_z
Pm1 0.061 0.000 0.331
Pm2 0.138 0.500 0.777
Tm1 0.000 0.000 0.000
Tm2 0.136 0.500 0.504
Tm3 0.210 0.000 0.923
Tm4 0.249 0.000 0.684
Th1 0.000 0.500 0.000
```

Calculated values
Calculated volume: 33.3 Å³ per atom

***

Which is most stable? The ranking, best first, is arrangement A, arrangement B.

***

Arrangement A

First-principles (PBE-GGA) data for crystalline PmTmTh2 at its relaxed geometry, as listed in Alexandria.

Structure (CIF):
```
data_PmTmTh2
_chemical_formula_sum 'Pm3 Tm3 Th6'
_symmetry_space_group_name_H-M 'R -3 m'
_symmetry_Int_Tables_number 166
_symmetry_space_group_name_Hall '-R 3 2"'
_cell_length_a 3.4852
_cell_length_b 3.4852
_cell_length_c 37.2340
_cell_angle_alpha 90.00
_cell_angle_beta 90.00
_cell_angle_gamma 120.00
loop_
_atom_site_label
_atom_site_fract_x
_atom_site_fract_y
_atom_site_fract_z
Pm1 0.0000 0.0000 0.0000
Tm1 0.0000 0.0000 0.5000
Th1 0.0000 0.0000 0.0884
```

Calculated values
Calculated volume: 32.6 Å³ per atom

***

Arrangement B

First-principles (PBE-GGA) data for crystalline PmTmTh2 at its relaxed geometry, as listed in Alexandria.

Structure (CIF):
```
data_PmTmTh2
_chemical_formula_sum 'Pm2 Tm2 Th4'
_symmetry_space_group_name_H-M 'P 1 21/m 1'
_symmetry_Int_Tables_number 11
_cell_length_a 5.040
_cell_length_b 5.070
_cell_length_c 10.125
_cell_angle_alpha 90.00
_cell_angle_beta 90.08
_cell_angle_gamma 90.00
loop_
_symmetry_equiv_pos_as_xyz
'x,y,z'
'-x,-y,-z'
'-x,y+1/2,-z'
'x,-y+1/2,z'
loop_
_atom_site_label
_atom_site_fract_x
_atom_site_fract_y
_atom_site_fract_z
Pm1 0.000 0.250 0.130
Tm1 0.500 0.250 0.870
Th1 0.000 0.250 0.623
Th2 0.499 0.750 0.621
```

Calculated values
Calculated volume: 32.3 Å³ per atom

***

Arrangement C

First-principles (PBE-GGA) data for crystalline PmTmTh2 at its relaxed geometry, as listed in Alexandria.

Structure (CIF):
```
data_PmTmTh2
_chemical_formula_sum 'Pm1 Tm1 Th2'
_symmetry_space_group_name_H-M 'P 4/m m m'
_symmetry_Int_Tables_number 123
_symmetry_space_group_name_Hall '-P 4 2'
_cell_length_a 5.012
_cell_length_b 5.012
_cell_length_c 5.129
_cell_angle_alpha 90.00
_cell_angle_beta 90.00
_cell_angle_gamma 90.00
loop_
_atom_site_label
_atom_site_fract_x
_atom_site_fract_y
_atom_site_fract_z
Pm1 0.000 0.000 0.000
Tm1 0.500 0.500 0.000
Th1 0.000 0.500 0.500
```

Calculated values
Calculated volume: 32.2 Å³ per atom

***

Which is most stable? The ranking, best first, is arrangement B, arrangement C, arrangement A.